# 1
Entry from Alexandria: crystalline PrYGa2Cu2 at its relaxed geometry (PBE).

Calculated values
Its raw total energy is -4.7237 eV per atom.

Cell lengths 4.4050, 4.4050, 7.3549 Å; angles 90.00, 90.00, 120.00 degrees
Fractional positions:
Pr1 0.0000 0.0000 0.0000
Y1 0.0000 0.0000 0.5000
Ga1 0.3333 0.6667 0.2710
Ga2 0.6667 0.3333 0.7290
Cu1 0.6667 0.3333 0.2796
Cu2 0.3333 0.6667 0.7204



# 2
Entry from Alexandria: crystalline Ca3NpPd12 at its relaxed geometry (PBE).

Calculated values
Its raw total energy is -5.5855 eV per atom.

Cell lengths 4.1269, 4.1269, 16.5464 Å; angles 90.00, 90.00, 90.00 degrees
Last column: magnetic moment on the atom in μB.
Fractional positions:
Pd1 0.5000 0.0000 0.3748  -0.01
Pd2 0.5000 0.0000 0.6252  -0.01
Pd3 0.5000 0.0000 0.8801  -0.07
Pd4 0.0000 0.5000 0.3748  -0.01
Pd5 0.5000 0.5000 0.2494  -0.02
Pd6 0.5000 0.0000 0.1199  -0.07
Pd7 0.0000 0.5000 0.6252  -0.01
Pd8 0.0000 0.5000 0.8801  -0.07
Pd9 0.5000 0.5000 0.5000  -0.02
Pd10 0.5000 0.5000 0.7506  -0.02
Pd11 0.0000 0.5000 0.1199  -0.07
Pd12 0.5000 0.5000 0.0000  -0.09
Ca1 0.0000 0.0000 0.2506  0.00
Ca2 0.0000 0.0000 0.7494  0.00
Ca3 0.0000 0.0000 0.5000  0.00
Np1 0.0000 0.0000 0.0000  3.10



Computed ρ (g/cm³) in order:
6.67; 9.63